(1)
NbNiHgSb (GGA-PBE, optimized geometry); DFT total energy = -4.733 eV/atom; magnetization = 0.68 μB/f.u.; volume = 18.45 A^3/atom; calculated density = 10.7 g/cm³
1.0
0.000 3.330 3.330
3.330 0.000 3.330
3.330 3.330 0.000
Nb Ni Hg Sb
1 1 1 1
direct
0.000 0.000 0.000
0.500 0.500 0.500
0.750 0.750 0.750
0.250 0.250 0.250

(2)
PmNiB (GGA-PBE, optimized geometry); DFT total energy = -5.242 eV/atom; magnetization = 0.47 μB/f.u.; volume = 17.38 A^3/atom; calculated density = 6.8 g/cm³
1.0
0.000 2.965 2.965
2.965 0.000 2.965
2.965 2.965 0.000
Pm Ni B
1 1 1
direct
0.000 0.000 0.000
0.750 0.750 0.750
0.500 0.500 0.500

(3)
NiSnTe2 (GGA-PBE, optimized geometry); DFT total energy = -3.497 eV/atom; magnetization = 0.00 μB/f.u.; volume = 23.70 A^3/atom; calculated density = 7.6 g/cm³
1.0
0.000 3.619 3.619
3.619 0.000 3.619
3.619 3.619 0.000
Ni Sn Te
1 1 2
direct
0.000 0.000 0.000
0.250 0.250 0.250
0.500 0.500 0.500
0.750 0.750 0.750

(4)
LaGdLu (GGA-PBE, optimized geometry); DFT total energy = -4.025 eV/atom; magnetization = 0.00 μB/f.u.; volume = 38.72 A^3/atom; calculated density = 6.7 g/cm³
1.0
0.000 3.873 3.873
3.873 0.000 3.873
3.873 3.873 0.000
La Gd Lu
1 1 1
direct
0.000 0.000 0.000
0.500 0.500 0.500
0.750 0.750 0.750

(5)
Nd2Si2O5 (GGA-PBE, optimized geometry); DFT total energy = -7.233 eV/atom; magnetization = 0.00 μB/f.u.; volume = 11.77 A^3/atom; calculated density = 6.7 g/cm³
1.0
3.928 0.000 0.000
0.000 3.928 0.000
0.000 0.000 6.864
Nd Si O
2 2 5
direct
0.000 0.000 0.000
0.000 0.000 0.500
0.500 0.500 0.239
0.500 0.500 0.761
0.000 0.500 0.249
0.000 0.500 0.751
0.500 0.000 0.249
0.500 0.000 0.751
0.500 0.500 0.500

(6)
LuGe2Sb (GGA-PBE, optimized geometry); DFT total energy = -4.546 eV/atom; magnetization = 0.00 μB/f.u.; volume = 23.30 A^3/atom; calculated density = 7.9 g/cm³
1.0
0.000 3.598 3.598
3.598 0.000 3.598
3.598 3.598 0.000
Lu Ge Sb
1 2 1
direct
0.000 0.000 0.000
0.250 0.250 0.250
0.500 0.500 0.500
0.750 0.750 0.750

(7)
Cu2Ag3 (GGA-PBE, optimized geometry); DFT total energy = -3.117 eV/atom; volume = 15.51 A^3/atom; calculated density = 9.7 g/cm³
1.0
7.397 -1.429 0.000
7.397 1.429 0.000
-1.919 0.000 7.336
Cu Ag
4 6
direct
0.112 0.112 0.043
0.299 0.299 0.129
0.701 0.701 0.871
0.888 0.888 0.957
0.101 0.101 0.561
0.297 0.297 0.667
0.498 0.498 0.779
0.502 0.502 0.221
0.703 0.703 0.333
0.899 0.899 0.439

(8)
ZnHg2Sb2 (GGA-PBE, optimized geometry); DFT total energy = -1.882 eV/atom; volume = 27.57 A^3/atom; calculated density = 8.6 g/cm³
1.0
4.022 0.000 0.000
-2.011 3.483 0.000
0.000 0.000 19.676
Zn Hg Sb
2 4 4
direct
0.000 0.000 0.000
0.000 0.000 0.500
0.333 0.667 0.180
0.333 0.667 0.320
0.667 0.333 0.680
0.667 0.333 0.820
0.333 0.667 0.579
0.333 0.667 0.921
0.667 0.333 0.079
0.667 0.333 0.421

(9)
GdAg (GGA-PBE, optimized geometry); DFT total energy = -3.795 eV/atom; magnetization = 0.00 μB/f.u.; volume = 24.92 A^3/atom; calculated density = 8.8 g/cm³
1.0
3.448 0.000 0.000
-1.724 2.986 0.000
0.000 0.000 4.841
Gd Ag
1 1
direct
0.000 0.000 0.000
0.333 0.667 0.500

(10)
ZnPbW4N2 (GGA-PBE, optimized geometry); DFT total energy = -8.750 eV/atom; magnetization = 0.18 μB/f.u.; volume = 14.22 A^3/atom; calculated density = 15.1 g/cm³
1.0
2.906 0.000 0.000
-1.453 2.517 0.000
0.000 0.000 15.557
Zn Pb W N
1 1 4 2
direct
0.000 0.000 0.000
0.667 0.333 0.500
0.000 0.000 0.324
0.000 0.000 0.676
0.667 0.333 0.144
0.667 0.333 0.856
0.333 0.667 0.235
0.333 0.667 0.765

(11)
CdSnSbP (GGA-PBE, optimized geometry); DFT total energy = -3.640 eV/atom; volume = 30.47 A^3/atom; calculated density = 5.2 g/cm³
1.0
-3.119 3.158 6.189
3.119 -3.158 6.189
3.119 3.158 -6.189
Cd Sn Sb P
2 2 2 2
direct
0.146 0.396 0.750
0.354 0.104 0.250
0.634 0.884 0.750
0.866 0.616 0.250
0.250 0.486 0.236
0.750 0.014 0.264
0.514 0.250 0.764
0.986 0.750 0.736

(12)
ReBi2 (GGA-PBE, optimized geometry); DFT total energy = -6.196 eV/atom; magnetization = 0.68 μB/f.u.; volume = 25.36 A^3/atom; calculated density = 13.2 g/cm³
1.0
6.238 0.000 0.000
0.000 7.083 0.000
0.000 0.000 3.444
Re Bi
2 4
direct
0.000 0.000 0.000
0.500 0.500 0.500
0.196 0.350 0.000
0.304 0.850 0.500
0.696 0.150 0.500
0.804 0.650 0.000

Q: Which of these has the highest calculated density?
A: ZnPbW4N2

Q: Look up the volume of the first one.
A: 18.45 A^3/atom

Q: Among the records above, which one has the lowest calculated density?
A: CdSnSbP